(1)
A plane-wave DFT calculation with PBE was carried out for an optimized crystal structure of MgW2.

a = 5.3746 Å, b = 5.3746 Å, c = 5.3746 Å
α = 60.00°, β = 60.00°, γ = 60.00°
Closest atoms and distances in Å follow each position.
Atoms (fractional coordinates):
Mg1 0.7500 0.7500 0.7500  12 W 3.15, 4 Mg 3.29
Mg2 0.5000 0.5000 0.5000  12 W 3.15, 4 Mg 3.29
W1 0.1250 0.6250 0.1250  6 W 2.69
W2 0.1250 0.1250 0.6250  6 W 2.69
W3 0.6250 0.1250 0.1250  6 W 2.69
W4 0.1250 0.1250 0.1250  6 W 2.69

- E above lowest polymorph: 241 meV/atom
- Space-group type: Fd-3m
- Calculated total energy: -8.646 eV/atom
- Crystal system: cubic
- DFT formation energy: 520 meV/atom



(2)
A plane-wave DFT calculation with PBE was carried out for an optimized crystal structure of Mg4W.

a = 5.2431 Å, b = 5.2431 Å, c = 5.2431 Å
α = 90.00°, β = 90.00°, γ = 90.00°
Closest atoms and distances in Å follow each position.
Atoms (fractional coordinates):
Mg1 0.0000 0.0000 0.0000  12 Mg 3.71
Mg2 0.5000 0.0000 0.5000  2 W 2.62
Mg3 0.0000 0.5000 0.5000  2 W 2.62
Mg4 0.5000 0.5000 0.0000  2 W 2.62
W1 0.5000 0.5000 0.5000  6 Mg 2.62

- E above lowest polymorph: 322 meV/atom
- Space-group type: Pm-3m
- Calculated total energy: -2.669 eV/atom
- Crystal system: cubic
- DFT formation energy: 1197 meV/atom



(3)
A plane-wave DFT calculation with PBE was carried out for an optimized crystal structure of MgW3.

a = 4.8795 Å, b = 4.8795 Å, c = 11.0209 Å
α = 147.54°, β = 147.54°, γ = 31.86°
Closest atoms and distances in Å follow each position.
Atoms (fractional coordinates):
Mg1 0.0000 0.0000 0.2500  2 Mg 2.68, 10 W 2.76-2.97
W1 0.0042 0.0042 0.0027  9 W 2.68-2.99, 3 Mg 2.76-2.94
W2 0.9958 0.9958 0.4973  9 W 2.68-2.99, 3 Mg 2.76-2.94
W3 0.0000 0.0000 0.7500  8 W 2.68-2.97, 4 Mg 2.97

- E above lowest polymorph: 235 meV/atom
- Space-group type: C2/m
- Calculated total energy: -9.649 eV/atom
- Crystal system: monoclinic
- DFT formation energy: 465 meV/atom